[1]
Entry from the Alexandria database: Nb2NiSbPd after structural relaxation (PBE-GGA).

Results
Spin magnetization (μB/f.u.): 0.00

Lattice parameters (Å, degrees): 4.5711 4.5711 4.7070 90.00 90.00 90.00
Space group P4/mmm (No. 123)
One atom of each set of equivalent atoms:
Nb 0.0000 0.5000 0.0000 (multiplicity 2)
Ni 0.0000 0.0000 0.0000 (multiplicity 1)
Sb 0.5000 0.5000 0.5000 (multiplicity 1)
Pd 0.0000 0.0000 0.5000 (multiplicity 1)

[2]
Entry from the Alexandria database: Nb2NiPd2Se6 after structural relaxation (PBE-GGA).

Results
Spin magnetization (μB/f.u.): 0.00

Lattice parameters (Å, degrees): 6.1320 11.2234 6.2878 90.00 96.10 90.00
Space group C2/m (No. 12)
One atom of each set of equivalent atoms:
Nb 0.0000 0.1326 0.0000 (multiplicity 4)
Ni 0.0000 0.5000 0.0000 (multiplicity 2)
Pd 0.0000 0.1561 0.5000 (multiplicity 4)
Se 0.1633 0.3337 0.2231 (multiplicity 8)
Se 0.2170 0.0000 0.2835 (multiplicity 4)

[3]
Entry from the Alexandria database: NbSiNiPd2 after structural relaxation (PBE-GGA).

Results
Spin magnetization (μB/f.u.): 0.56

Lattice parameters (Å, degrees): 4.7867 4.7867 4.8375 90.00 90.00 90.00
Space group P4/mmm (No. 123)
One atom of each set of equivalent atoms:
Nb 0.0000 0.0000 0.0000 (multiplicity 1)
Si 0.0000 0.0000 0.5000 (multiplicity 1)
Ni 0.5000 0.5000 0.5000 (multiplicity 1)
Pd 0.0000 0.5000 0.0000 (multiplicity 2)

no.,E_form (uncorrected) (eV/atom),DOS(E_F) (states/eV/atom)
1,0.51,0.9169
2,-0.46,0.5344
3,1.28,1.1126